The following is a DFT calculation (PBE+U) of an optimized crystal structure of CsYCoO3.

a = 8.242 Å, b = 3.596 Å, c = 8.475 Å
α = 90.00°, β = 109.39°, γ = 90.00°
Space group P2_1/m (No. 11)
Symmetry-distinct sites (fractional):
Cs  0.216  0.250  0.230 [2 per cell]
Y  0.342  0.750  0.858 [2 per cell]
Co  0.075  0.250  0.619 [2 per cell]
O  0.158  0.750  0.563 [2 per cell]
O  0.159  0.250  0.858 [2 per cell]
O  0.478  0.750  0.134 [2 per cell]

Properties
- total energy (eV for the cell shown) = -79.54
- total magnetization (μB per formula unit) = 3.0
- density (g cm⁻³) = 4.61
- volume (Å³/cell) = 236.9